# FeTeN2O

FeTeN2O after structural relaxation (PBE+U, the Alexandria database).

Results
M_tot (μB per cell): 3.885
Raw total energy (eV per cell): -26.25

Structure (POSCAR):
```
FeTeN2O
1.0
3.9728 0.0000 0.0000
0.0000 3.9728 0.0000
0.0000 0.0000 3.6932
Te Fe O N
1 1 1 2
Direct
0.5000 0.5000 0.5000
0.0000 0.0000 0.0000
0.0000 0.0000 0.5000
0.0000 0.5000 0.0000
0.5000 0.0000 0.0000
```